The following is a PBE calculation of an optimized crystal structure of Pm5TmAg6, from the Alexandria database.

Geometry as CIF:
```
data_Pm5TmAg6
_chemical_formula_sum 'Pm5 Tm1 Ag6'
_cell_length_a 5.2617
_cell_length_b 7.3486
_cell_length_c 8.3225
_cell_angle_alpha 90.00
_cell_angle_beta 108.05
_cell_angle_gamma 90.00
_space_group_name_H-M_alt 'P 1 2/m 1'
_space_group_IT_number 10
loop_
_space_group_symop_operation_xyz
'x,y,z'
'-x,-y,-z'
'-x,y,-z'
'x,-y,z'
loop_
_atom_site_label
_atom_site_type_symbol
_atom_site_fract_x
_atom_site_fract_y
_atom_site_fract_z
Pm1 Pm 0.0000 0.0000 0.0000
Pm2 Pm 0.3314 0.0000 0.6631
Pm3 Pm 0.3345 0.5000 0.6687
Tm1 Tm 0.0000 0.5000 0.0000
Ag1 Ag 0.1624 0.2561 0.3247
Ag2 Ag 0.5000 0.2590 0.0000
```

Computed properties:
total DFT energy (no corrections): -4.06 eV/atom
M_tot: 0.0000 μB per atom